Material: KRb3As
Method: DFT, SCAN
State: PBEsol geometry

Summary:
For the formation energy, the calculation gives -129 meV/atom. The calculation puts the magnetization at 1.045 μB/f.u. The total energy comes out at -18.28 eV/atom.

```
5
Lattice="6.806 0.000 0.000 0.000 6.806 0.000 0.000 0.000 6.806" Properties=species:S:1:pos:R:3 pbc="T T T"
K 0.000 0.000 0.000
Rb 0.000 3.403 3.403
Rb 3.403 0.000 3.403
Rb 3.403 3.403 0.000
As 3.403 3.403 3.403
```